# 1
The following is a PBE calculation of crystalline TcNiAg2 at its relaxed geometry, from Alexandria.

The structure in CIF format:
```
data_TcNiAg2
_cell_length_a 7.3050
_cell_length_b 7.3050
_cell_length_c 5.2221
_cell_angle_alpha 90.00
_cell_angle_beta 90.00
_cell_angle_gamma 90.00
_space_group_name_H-M_alt 'I -4 2 d'
_space_group_IT_number 122
_space_group_name_Hall 'I -4 2bw'
loop_
_atom_site_label
_atom_site_fract_x
_atom_site_fract_y
_atom_site_fract_z
Tc1 0.0000 0.0000 0.0000
Ni1 0.0000 0.0000 0.5000
Ag1 0.2209 0.2500 0.6250
```

Values from the calculation:
- total magnetization (μB/atom) = 0.901



# 2
The following is a PBE calculation of crystalline TcNiAg at its relaxed geometry, from Alexandria.

The structure in CIF format:
```
data_TcNiAg
_cell_length_a 4.3798
_cell_length_b 4.3798
_cell_length_c 2.5855
_cell_angle_alpha 90.00
_cell_angle_beta 90.00
_cell_angle_gamma 120.00
_space_group_name_H-M_alt 'P 3 m 1'
_space_group_IT_number 156
_space_group_name_Hall 'P 3 -2"'
loop_
_atom_site_label
_atom_site_fract_x
_atom_site_fract_y
_atom_site_fract_z
Tc1 0.0000 0.0000 0.0000
Ni1 0.3333 0.6667 0.5064
Ag1 0.6667 0.3333 0.4968
```

Values from the calculation:
- total magnetization (μB/atom) = 0.045



# 3
The following is a PBE calculation of crystalline TcNiAg2 at its relaxed geometry, from Alexandria.

The structure in CIF format:
```
data_TcNiAg2
_cell_length_a 4.0455
_cell_length_b 4.0455
_cell_length_c 7.6430
_cell_angle_alpha 90.00
_cell_angle_beta 90.00
_cell_angle_gamma 90.00
_space_group_name_H-M_alt 'I -4 m 2'
_space_group_IT_number 119
_space_group_name_Hall 'I -4 -2'
loop_
_atom_site_label
_atom_site_fract_x
_atom_site_fract_y
_atom_site_fract_z
Tc1 0.0000 0.0000 0.0000
Ni1 0.0000 0.5000 0.2500
Ag1 0.0000 0.0000 0.5000
Ag2 0.0000 0.5000 0.7500
```

Values from the calculation:
- total magnetization (μB/atom) = 0.776



no.,V (Å³ per atom),energy of formation from the pure elements (eV per formula unit),DOS(E_F) (states/eV/f.u.)
1,17.4,3.919,3.78
2,14.3,1.489,3.88
3,15.6,2.364,2.92